# 1
First-principles (PBE-GGA) data for a relaxed Mn5Pt crystal, as listed in Alexandria via LeMat-Bulk.

Cell: 5.908 5.908 3.608 Å, 90.00 90.00 144.43°
Element x y z (fractional)
Mn 0.142 0.858 0.500
Mn 0.641 0.359 0.000
Mn 0.303 0.697 0.000
Mn 0.472 0.528 0.500
Mn 0.803 0.197 0.500
Pt 0.972 0.028 0.000

As for the formation energy: -0.03 eV per atom. Its space-group type is Cmmm. The size of the total moment comes out at 0.536 μB/atom. The density of states at the Fermi level is 6.2 states/eV/cell.


# 2
First-principles (PBE-GGA) data for a relaxed Mn3Pt crystal, as listed in Alexandria via LeMat-Bulk.

Cell: 2.735 2.735 7.136 Å, 90.00 90.00 89.96°
Element x y z (fractional)
Mn 0.500 0.500 0.750
Mn 0.000 0.000 0.519
Pt 0.500 0.500 0.250
Mn 0.000 0.000 0.981

As for the formation energy: -0.08 eV per atom. Its space-group type is P4/mmm. The size of the total moment comes out at 1.106 μB/atom. The density of states at the Fermi level is 4.9 states/eV/cell.


# 3
First-principles (PBE-GGA) data for a relaxed Mn3Pt crystal, as listed in Alexandria via LeMat-Bulk.

Cell: 5.370 4.396 4.672 Å, 90.00 90.00 90.00°
Element x y z (fractional)
Mn 0.750 0.500 0.819
Mn 0.250 0.500 0.819
Mn 0.750 0.000 0.181
Pt 0.500 0.500 0.317
Mn 0.500 0.000 0.670
Mn 0.000 0.500 0.330
Pt 0.000 0.000 0.683
Mn 0.250 0.000 0.181

As for the formation energy: -0.18 eV per atom. Its space-group type is Pmmn. The size of the total moment comes out at 0.803 μB/atom. The density of states at the Fermi level is 6.9 states/eV/cell.


# 4
First-principles (PBE-GGA) data for a relaxed Mn3Pt crystal, as listed in Alexandria via LeMat-Bulk.

Cell: 3.012 3.012 5.954 Å, 90.00 90.00 90.00°
Element x y z (fractional)
Mn 0.500 0.500 0.250
Mn 0.000 0.000 0.482
Mn 0.000 0.000 0.018
Pt 0.500 0.500 0.750

As for the formation energy: -0.04 eV per atom. Its space-group type is P4/mmm. The size of the total moment comes out at 1.662 μB/atom. The density of states at the Fermi level is 4.4 states/eV/cell.


# 5
First-principles (PBE-GGA) data for a relaxed MnPt5 crystal, as listed in Alexandria via LeMat-Bulk.

Cell: 2.797 7.274 4.652 Å, 90.00 90.00 78.92°
Element x y z (fractional)
Pt 0.344 0.313 0.000
Pt 0.885 0.230 0.500
Pt 0.551 0.897 0.500
Pt 0.666 0.668 0.000
Mn 0.003 0.994 0.000
Pt 0.218 0.564 0.500

As for the formation energy: -0.17 eV per atom. Its space-group type is Amm2. The size of the total moment comes out at 0.772 μB/atom. The density of states at the Fermi level is 7.9 states/eV/cell.


# 6
First-principles (PBE-GGA) data for a relaxed Mn3Pt crystal, as listed in Alexandria via LeMat-Bulk.

Cell: 4.987 4.987 4.987 Å, 90.00 90.00 90.00°
Element x y z (fractional)
Mn 0.500 0.000 0.000
Mn 0.000 0.500 0.000
Pt 0.000 0.000 0.000
Mn 0.000 0.000 0.500

As for the formation energy: 1.00 eV per atom. Its space-group type is Pm-3m. The size of the total moment comes out at 3.477 μB/atom. The density of states at the Fermi level is 2.3 states/eV/cell.


# 7
First-principles (PBE-GGA) data for a relaxed Mn3Pt crystal, as listed in Alexandria via LeMat-Bulk.

Cell: 2.655 4.200 4.564 Å, 90.00 90.00 90.00°
Element x y z (fractional)
Mn 0.500 0.500 0.835
Pt 0.000 0.500 0.339
Mn 0.000 0.000 0.986
Mn 0.500 0.000 0.507

As for the formation energy: -0.07 eV per atom. Its space-group type is Pmm2. The size of the total moment comes out at 0.252 μB/atom. The density of states at the Fermi level is 4.7 states/eV/cell.


# 8
First-principles (PBE-GGA) data for a relaxed Mn7Pt6 crystal, as listed in Alexandria via LeMat-Bulk.

Cell: 9.176 9.176 9.176 Å, 30.62 30.62 30.62°
Element x y z (fractional)
Mn 0.500 0.500 0.500
Mn 0.409 0.913 0.409
Mn 0.591 0.087 0.591
Pt 0.049 0.049 0.049
Mn 0.087 0.591 0.591
Mn 0.591 0.591 0.087
Mn 0.409 0.409 0.913
Pt 0.336 0.336 0.336
Mn 0.913 0.409 0.409
Pt 0.664 0.664 0.664
Pt 0.951 0.951 0.951
Pt 0.155 0.155 0.155
Pt 0.845 0.845 0.845

As for the formation energy: -0.10 eV per atom. Its space-group type is R-3m. The size of the total moment comes out at 0.886 μB/atom. The density of states at the Fermi level is 14.2 states/eV/cell.